[1]
The following is a DFT calculation (PBE-GGA) of a geometry-optimized Nd4Y3Mg structure. Values from VASP.

Cell and atoms, written as Quantum ESPRESSO input:
```
&SYSTEM
  ibrav = 0, nat = 8, ntyp = 3
/
ATOMIC_SPECIES
Nd 144.24 Nd.upf
Y 88.91 Y.upf
Mg 24.30 Mg.upf
ATOMIC_POSITIONS crystal
Nd 0.627 0.028 0.255
Nd 0.373 0.972 0.745
Nd 0.880 0.491 0.759
Nd 0.120 0.509 0.241
Y 0.000 0.500 0.000
Y 0.254 0.259 0.507
Y 0.746 0.741 0.493
Mg 0.500 0.000 0.000
CELL_PARAMETERS angstrom
-0.761 -2.046 2.935
5.915 0.072 1.583
-10.568 10.619 2.383
```

Output
- energy of formation from the pure elements (eV/f.u.) = 0.197
- DOS at the Fermi energy (states/eV/cell) = 10.04
- space-group type = No. 12

[2]
The following is a DFT calculation (PBE-GGA) of a geometry-optimized Nd12Y2Mg structure. Values from VASP.

Cell and atoms, written as Quantum ESPRESSO input:
```
&SYSTEM
  ibrav = 0, nat = 30, ntyp = 3
/
ATOMIC_SPECIES
Nd 144.24 Nd.upf
Y 88.91 Y.upf
Mg 24.30 Mg.upf
ATOMIC_POSITIONS crystal
Nd 0.500 0.500 0.790
Nd 0.000 0.000 0.790
Nd 0.816 0.684 0.892
Nd 0.316 0.816 0.892
Nd 0.000 0.000 0.335
Nd 0.184 0.684 0.108
Nd 0.832 0.332 0.564
Nd 0.500 0.500 0.335
Nd 0.184 0.316 0.892
Nd 0.684 0.816 0.108
Nd 0.332 0.168 0.564
Nd 0.668 0.168 0.436
Nd 0.000 0.000 0.665
Nd 0.168 0.332 0.436
Nd 0.316 0.184 0.108
Nd 0.832 0.668 0.436
Nd 0.668 0.832 0.564
Nd 0.000 0.000 0.210
Nd 0.168 0.668 0.564
Nd 0.500 0.500 0.665
Nd 0.684 0.184 0.892
Nd 0.500 0.500 0.210
Nd 0.332 0.832 0.436
Nd 0.816 0.316 0.108
Y 0.500 0.000 0.268
Y 0.000 0.500 0.268
Y 0.000 0.500 0.732
Y 0.500 0.000 0.732
Mg 0.500 0.000 0.000
Mg 0.000 0.500 0.000
CELL_PARAMETERS angstrom
-3.289 3.985 4.143
-4.419 1.300 -4.758
-13.901 -19.387 7.612
```

Output
- energy of formation from the pure elements (eV/f.u.) = 4.266
- DOS at the Fermi energy (states/eV/cell) = 37.55
- space-group type = No. 125

[3]
The following is a DFT calculation (PBE-GGA) of a geometry-optimized Nd4Y4Mg structure. Values from VASP.

Cell and atoms, written as Quantum ESPRESSO input:
```
&SYSTEM
  ibrav = 0, nat = 18, ntyp = 3
/
ATOMIC_SPECIES
Nd 144.24 Nd.upf
Y 88.91 Y.upf
Mg 24.30 Mg.upf
ATOMIC_POSITIONS crystal
Nd 0.860 0.140 0.500
Nd 0.860 0.140 0.000
Nd 0.066 0.531 0.750
Nd 0.469 0.934 0.250
Nd 0.531 0.066 0.750
Nd 0.934 0.469 0.250
Nd 0.140 0.860 0.000
Nd 0.140 0.860 0.500
Y 0.724 0.459 0.750
Y 0.541 0.276 0.250
Y 0.207 0.207 0.492
Y 0.207 0.207 0.008
Y 0.793 0.793 0.508
Y 0.793 0.793 0.992
Y 0.276 0.541 0.250
Y 0.459 0.724 0.750
Mg 0.404 0.404 0.750
Mg 0.596 0.596 0.250
CELL_PARAMETERS angstrom
7.315 -6.302 0.000
7.315 6.302 0.000
0.000 0.000 6.526
```

Output
- energy of formation from the pure elements (eV/f.u.) = 1.481
- DOS at the Fermi energy (states/eV/cell) = 31.63
- space-group type = No. 63

[4]
The following is a DFT calculation (PBE-GGA) of a geometry-optimized NdYMg2 structure. Values from VASP.

Cell and atoms, written as Quantum ESPRESSO input:
```
&SYSTEM
  ibrav = 0, nat = 4, ntyp = 3
/
ATOMIC_SPECIES
Y 88.91 Y.upf
Mg 24.30 Mg.upf
Nd 144.24 Nd.upf
ATOMIC_POSITIONS crystal
Y 0.750 0.750 0.750
Mg 0.500 0.500 0.500
Mg 0.000 0.000 0.000
Nd 0.250 0.250 0.250
CELL_PARAMETERS angstrom
-1.731 -1.397 4.959
1.215 -4.896 2.024
3.549 -0.444 4.093
```

Output
- energy of formation from the pure elements (eV/f.u.) = -0.462
- DOS at the Fermi energy (states/eV/cell) = 4.57
- space-group type = No. 225

[5]
The following is a DFT calculation (PBE-GGA) of a geometry-optimized Nd6Y12Mg structure. Values from VASP.

Cell and atoms, written as Quantum ESPRESSO input:
```
&SYSTEM
  ibrav = 0, nat = 19, ntyp = 3
/
ATOMIC_SPECIES
Nd 144.24 Nd.upf
Y 88.91 Y.upf
Mg 24.30 Mg.upf
ATOMIC_POSITIONS crystal
Nd 0.135 0.136 0.408
Nd 0.864 0.592 0.865
Nd 0.592 0.865 0.864
Nd 0.865 0.864 0.592
Nd 0.136 0.408 0.135
Nd 0.408 0.135 0.136
Y 0.591 0.167 0.591
Y 0.167 0.591 0.591
Y 0.591 0.591 0.167
Y 0.409 0.833 0.409
Y 0.833 0.409 0.409
Y 0.409 0.409 0.833
Y 0.262 0.000 0.738
Y 0.262 0.738 0.000
Y 0.000 0.262 0.738
Y 0.738 0.000 0.262
Y 0.738 0.262 0.000
Y 0.000 0.738 0.262
Mg 0.000 0.000 0.000
CELL_PARAMETERS angstrom
-8.094 1.698 -2.873
-0.558 -8.736 -0.086
-1.541 1.167 8.538
```

Output
- energy of formation from the pure elements (eV/f.u.) = 2.543
- DOS at the Fermi energy (states/eV/cell) = 32.94
- space-group type = No. 166

[6]
The following is a DFT calculation (PBE-GGA) of a geometry-optimized NdY2Mg8 structure. Values from VASP.

Cell and atoms, written as Quantum ESPRESSO input:
```
&SYSTEM
  ibrav = 0, nat = 11, ntyp = 3
/
ATOMIC_SPECIES
Nd 144.24 Nd.upf
Y 88.91 Y.upf
Mg 24.30 Mg.upf
ATOMIC_POSITIONS crystal
Nd 0.500 0.000 0.000
Y 0.220 0.801 0.439
Y 0.780 0.199 0.561
Mg 0.590 0.710 0.180
Mg 0.320 0.538 0.640
Mg 0.142 0.130 0.285
Mg 0.025 0.334 0.051
Mg 0.858 0.870 0.715
Mg 0.680 0.462 0.360
Mg 0.410 0.290 0.820
Mg 0.975 0.666 0.949
CELL_PARAMETERS angstrom
-2.039 3.679 -2.848
1.142 -4.010 -5.997
-6.635 -2.384 6.199
```

Output
- energy of formation from the pure elements (eV/f.u.) = -0.602
- DOS at the Fermi energy (states/eV/cell) = 6.30
- space-group type = No. 12